Entry 1:
Computed, not measured: a geometry-optimized TcP2Ir structure at the PBE level of DFT.

a b c (Å): 2.982 2.982 7.656
angles (deg): 90.00 90.00 121.47
Element x y z (fractional)
P1 0.000 0.000 0.496
P2 0.000 0.000 0.004
Ir1 0.500 0.500 0.750
Tc1 0.500 0.500 0.250

Computed properties:
Its formation energy is 0.2420 eV per atom. Its density of states at the Fermi level is 3.61 states/eV per cell. The total magnetization is 0.000 μB per cell. The calculation puts the energy above the most stable polymorph in this dataset at 0.691 eV/atom.

---

Entry 2:
Computed, not measured: a geometry-optimized Tc2PIr structure at the PBE level of DFT.

a b c (Å): 5.481 5.481 6.574
angles (deg): 65.36 65.36 90.00
Element x y z (fractional)
Tc1 0.610 0.125 0.250
Tc2 0.375 0.390 0.750
Tc3 0.875 0.860 0.750
Tc4 0.140 0.625 0.250
P1 0.250 0.750 0.500
P2 0.500 0.500 0.000
Ir1 0.750 0.250 0.500
Ir2 0.000 0.000 0.000

Computed properties:
Its formation energy is 0.4640 eV per atom. Its density of states at the Fermi level is 3.55 states/eV per cell. The total magnetization is 0.000 μB per cell.

---

Entry 3:
Computed, not measured: a geometry-optimized TcPIr2 structure at the PBE level of DFT.

a b c (Å): 4.712 4.712 4.712
angles (deg): 132.25 132.25 69.84
Element x y z (fractional)
P1 0.500 0.500 0.000
Ir1 0.750 0.250 0.500
Ir2 0.250 0.750 0.500
Tc1 0.000 0.000 0.000

Computed properties:
Its formation energy is 0.1228 eV per atom. Its density of states at the Fermi level is 2.92 states/eV per cell. The total magnetization is 0.000 μB per cell.

---

Entry 4:
Computed, not measured: a geometry-optimized TcPIr2 structure at the PBE level of DFT.

a b c (Å): 2.750 2.750 8.859
angles (deg): 90.00 90.00 119.94
Each line ends with the local moment (μB).
Element x y z (fractional)
Ir1 0.000 0.000 0.265  0.01
Ir2 0.000 0.000 0.735  0.01
Tc1 0.500 0.500 0.000  0.07
P1 0.500 0.500 0.500  0.00

Computed properties:
Its formation energy is 0.3313 eV per atom. Its density of states at the Fermi level is 3.97 states/eV per cell. The total magnetization is 0.094 μB per cell.